This record from the Alexandria database describes a relaxed In2HgSb crystal. The functional is GGA-PBE.

```
4
Lattice="5.371 0.000 0.000 2.685 4.651 0.000 2.685 1.550 4.385" Properties=species:S:1:pos:R:3 pbc="T T T"
Hg 5.371 3.101 2.193
Sb 8.056 4.651 3.289
In 2.685 1.550 1.096
In 0.000 0.000 0.000
```

Values from the calculation:
Crystal system = cubic
V = 109.5 Å³/f.u.
Spin magnetization = 0.00 μB per formula unit
ΔE_f (raw) = 49 meV per atom

---

This record from the Alexandria database describes a relaxed Dy4PuTh crystal. The functional is GGA-PBE.

```
12
Lattice="-6.057 6.618 -5.549 1.106 -3.228 -5.057 -4.189 -4.404 -0.680" Properties=species:S:1:pos:R:3 pbc="T T T"
Dy -3.572 -1.598 -4.729
Dy -5.567 0.585 -6.558
Dy -8.210 -0.009 -4.365
Dy -1.982 -4.345 -6.307
Dy -0.929 -1.004 -6.922
Dy -0.446 -0.524 -3.443
Dy -8.693 -0.489 -7.844
Dy -7.157 3.331 -4.980
Th 0.000 0.000 0.000
Th -5.123 1.107 -3.115
Pu -2.475 1.695 -5.303
Pu -1.541 -3.816 -2.869
```

Values from the calculation:
ΔE_f = 0.080 eV per atom
Crystal system = monoclinic
V = 184.4 Å³/f.u.
Spin magnetization = 6.74 μB per formula unit

---

This record from the Alexandria database describes a relaxed HfFe2BrN crystal. The functional is GGA-PBE.

```
5
Lattice="-0.739 3.528 0.611 0.113 -0.601 3.604 5.427 1.133 0.019" Properties=species:S:1:pos:R:3 pbc="T T T"
Br 2.714 0.567 0.010
Fe 0.056 -0.300 1.802
Fe -0.369 1.764 0.306
Hf 2.401 2.030 2.117
N 0.000 0.000 0.000
```

Values from the calculation:
Crystal system = tetragonal
V = 74.1 Å³/f.u.
Spin magnetization = 1.62 μB per formula unit
ΔE_f (raw) = 239 meV per atom

---

This record from the Alexandria database describes a relaxed Si2RhBr crystal. The functional is GGA-PBE.

```
4
Lattice="-3.368 1.924 2.254 1.826 -3.245 2.504 1.587 1.754 3.814" Properties=species:S:1:pos:R:3 pbc="T T T"
Si -0.891 1.839 3.034
Si 0.000 0.000 0.000
Rh -0.771 -0.660 2.379
Br 1.706 -0.745 3.159
```

Values from the calculation:
Crystal system = tetragonal
V = 69.5 Å³/f.u.
Spin magnetization = 0.00 μB per formula unit
ΔE_f (raw) = 302 meV per atom

---

This record from the Alexandria database describes a relaxed KNi4SeS2 crystal. The functional is GGA-PBE.

```
8
Lattice="3.876 0.000 0.000 0.000 3.876 0.000 0.000 0.000 9.013" Properties=species:S:1:pos:R:3 pbc="T T T"
Ni 0.000 1.938 1.465
Ni 0.000 1.938 7.548
Ni 1.938 0.000 1.465
Ni 1.938 0.000 7.548
S 1.938 1.938 2.542
S 1.938 1.938 6.471
Se 0.000 0.000 0.000
K 0.000 0.000 4.507
```

Values from the calculation:
Crystal system = tetragonal
V = 135.4 Å³/f.u.
Spin magnetization = 0.00 μB per formula unit
ΔE_f (raw) = -448 meV per atom

---

This record from the Alexandria database describes a relaxed ZnIn2Cl crystal. The functional is GGA-PBE.

```
4
Lattice="0.000 3.708 3.708 3.708 0.000 3.708 3.708 3.708 0.000" Properties=species:S:1:pos:R:3 pbc="T T T"
In 5.562 5.562 5.562
In 1.854 1.854 1.854
Cl 0.000 0.000 0.000
Zn 3.708 3.708 3.708
```

Values from the calculation:
Crystal system = cubic
V = 102.0 Å³/f.u.
Spin magnetization = 0.00 μB per formula unit
ΔE_f (raw) = -104 meV per atom

---

Question: Which of these has the lowest V?
Answer: Si2RhBr

---

Question: Look up the V of the sixth one.
Answer: 102.0 Å³/f.u.